First-principles (PBE-GGA) data for a relaxed structure of AlFe2MoC, as listed in Alexandria via LeMat-Bulk.

Results
For the formation energy, the calculation gives -84 meV per atom. The theoretical density comes out at 6.7 g cm⁻³. Its density of states at the Fermi level is 0.832 states/eV per atom.

a = 3.8320 Å, b = 3.8320 Å, c = 4.1515 Å
α = 90.00°, β = 90.00°, γ = 90.00°
Element x y z (fractional)
Al 0.0000 0.0000 0.0000
Fe 0.0000 0.5000 0.5000
Fe 0.5000 0.0000 0.5000
Mo 0.5000 0.5000 0.0000
C 0.5000 0.5000 0.5000